Entry from Alexandria via LeMat-Bulk: a relaxed Ba2IrPb4 crystal (PBE-GGA).

abc: 5.320 5.320 9.850
angles: 74.33 74.33 90.00
Element x y z (fractional)
Pb 0.845 0.845 0.311
Pb 0.155 0.155 0.689
Pb 0.000 0.500 0.000
Pb 0.500 0.000 0.000
Ir 0.000 0.000 0.000
Ba 0.652 0.652 0.696
Ba 0.348 0.348 0.304

Fermi-level density of states: 1.378 states/eV per atom
Space group: I4/mmm (139)
Energy: -4.03 eV per atom
ΔE_f: -0.7 eV per formula unit
Size of the total moment: 0.00 μB per formula unit